No. 1
Below is a relaxed structure of LaPm2AlGe2, with properties calculated at the PBE level.

Results
* formation enthalpy at 0 K: -0.11 eV/atom
* crystal system: tetragonal
* raw total energy: -28.078 eV/f.u.

```
data_LaPm2AlGe2
_chemical_formula_sum 'La2 Pm4 Al2 Ge4'
_space_group_name_H-M_alt 'I 4/m m m'
_space_group_IT_number 139
_space_group_name_Hall '-I 4 2'
_cell_length_a 4.7777
_cell_length_b 4.7777
_cell_length_c 16.4109
_cell_angle_alpha 90.00
_cell_angle_beta 90.00
_cell_angle_gamma 90.00
loop_
_atom_site_label
_atom_site_type_symbol
_atom_site_fract_x
_atom_site_fract_y
_atom_site_fract_z
La1 La 0.0000 0.0000 0.0000
Pm1 Pm 0.0000 0.5000 0.2500
Al1 Al 0.0000 0.0000 0.5000
Ge1 Ge 0.0000 0.0000 0.3575
```



No. 2
Below is a relaxed structure of LaDyTh, with properties calculated at the PBE level.

Results
* formation enthalpy at 0 K: 0.10 eV/atom
* crystal system: hexagonal
* raw total energy: -16.648 eV/f.u.

```
data_LaDyTh
_chemical_formula_sum 'La1 Dy1 Th1'
_space_group_name_H-M_alt 'P -6 m 2'
_space_group_IT_number 187
_space_group_name_Hall 'P -6 2'
_cell_length_a 5.7680
_cell_length_b 5.7680
_cell_length_c 3.4855
_cell_angle_alpha 90.00
_cell_angle_beta 90.00
_cell_angle_gamma 120.00
loop_
_atom_site_label
_atom_site_type_symbol
_atom_site_fract_x
_atom_site_fract_y
_atom_site_fract_z
La1 La 0.0000 0.0000 0.0000
Dy1 Dy 0.6667 0.3333 0.5000
Th1 Th 0.3333 0.6667 0.0000
```



No. 3
Below is a relaxed structure of Y2Tm2Co, with properties calculated at the PBE level.

Results
* formation enthalpy at 0 K: -0.08 eV/atom
* crystal system: monoclinic
* raw total energy: -29.369 eV/f.u.

```
data_Y2Tm2Co
_chemical_formula_sum 'Y8 Tm8 Co4'
_space_group_name_H-M_alt 'C 1 2/m 1'
_space_group_IT_number 12
_cell_length_a 7.3598
_cell_length_b 11.4677
_cell_length_c 7.1001
_cell_angle_alpha 90.00
_cell_angle_beta 114.34
_cell_angle_gamma 90.00
loop_
_space_group_symop_operation_xyz
'x,y,z'
'-x,-y,-z'
'-x,y,-z'
'x,-y,z'
'x+1/2,y+1/2,z'
'-x+1/2,-y+1/2,-z'
'-x+1/2,y+1/2,-z'
'x+1/2,-y+1/2,z'
loop_
_atom_site_label
_atom_site_type_symbol
_atom_site_fract_x
_atom_site_fract_y
_atom_site_fract_z
Y1 Y 0.0411 0.2258 0.2566
Tm1 Tm 0.2273 0.5000 0.8878
Tm2 Tm 0.2430 0.0000 0.5998
Co1 Co 0.0000 0.3843 0.5000
```



No. 4
Below is a relaxed structure of CaMn2Ni2, with properties calculated at the PBE level.

Results
* formation enthalpy at 0 K: 0.28 eV/atom
* crystal system: tetragonal
* raw total energy: -30.495 eV/f.u.

```
data_CaMn2Ni2
_chemical_formula_sum 'Ca2 Mn4 Ni4'
_space_group_name_H-M_alt 'P 4/m b m'
_space_group_IT_number 127
_space_group_name_Hall '-P 4 2ab'
_cell_length_a 7.3069
_cell_length_b 7.3069
_cell_length_c 2.5443
_cell_angle_alpha 90.00
_cell_angle_beta 90.00
_cell_angle_gamma 90.00
loop_
_atom_site_label
_atom_site_type_symbol
_atom_site_fract_x
_atom_site_fract_y
_atom_site_fract_z
Ca1 Ca 0.0000 0.0000 0.0000
Mn1 Mn 0.0993 0.4007 0.0000
Ni1 Ni 0.1885 0.6885 0.5000
```



No. 5
Below is a relaxed structure of La6Tl2Os, with properties calculated at the PBE level.

Results
* formation enthalpy at 0 K: -0.27 eV/atom
* crystal system: orthorhombic
* raw total energy: -47.980 eV/f.u.

```
data_La6Tl2Os
_chemical_formula_sum 'La12 Tl4 Os2'
_space_group_name_H-M_alt 'A m m 2'
_space_group_IT_number 38
_cell_length_a 4.0331
_cell_length_b 15.6060
_cell_length_c 9.0583
_cell_angle_alpha 90.00
_cell_angle_beta 90.00
_cell_angle_gamma 90.00
loop_
_space_group_symop_operation_xyz
'x,y,z'
'-x,-y,z'
'-x,y,z'
'x,-y,z'
'x,y+1/2,z+1/2'
'-x,-y+1/2,z+1/2'
'-x,y+1/2,z+1/2'
'x,-y+1/2,z+1/2'
loop_
_atom_site_label
_atom_site_type_symbol
_atom_site_fract_x
_atom_site_fract_y
_atom_site_fract_z
La1 La 0.0000 0.0000 0.0000
La2 La 0.0000 0.1158 0.6460
La3 La 0.5000 0.0000 0.3697
La4 La 0.5000 0.1964 0.9594
Tl1 Tl 0.0000 0.1673 0.2629
Os1 Os 0.5000 0.0000 0.7713
```



No. 6
Below is a relaxed structure of La4Pr3Y, with properties calculated at the PBE level.

Results
* formation enthalpy at 0 K: 0.03 eV/atom
* crystal system: orthorhombic
* raw total energy: -40.268 eV/f.u.

```
data_La4Pr3Y
_chemical_formula_sum 'La8 Pr6 Y2'
_space_group_name_H-M_alt 'P m n 21'
_space_group_IT_number 31
_cell_length_a 12.0278
_cell_length_b 7.4939
_cell_length_c 6.4689
_cell_angle_alpha 90.00
_cell_angle_beta 90.00
_cell_angle_gamma 90.00
loop_
_space_group_symop_operation_xyz
'x,y,z'
'-x+1/2,-y,z+1/2'
'-x,y,z'
'x+1/2,-y,z+1/2'
loop_
_atom_site_label
_atom_site_type_symbol
_atom_site_fract_x
_atom_site_fract_y
_atom_site_fract_z
La1 La 0.0000 0.1252 0.0000
La2 La 0.0000 0.6278 0.9952
La3 La 0.2466 0.1247 0.6654
Pr1 Pr 0.0000 0.8742 0.4924
Pr2 Pr 0.2497 0.3763 0.1612
Y1 Y 0.0000 0.3768 0.4977
```



No. 7
Below is a relaxed structure of TiSnSeN2, with properties calculated at the PBE level.

Results
* formation energy from raw total energies: 1.0382 eV/atom
* crystal system: tetragonal
* raw total energy: -26.842 eV/f.u.

```
data_TiSnSeN2
_chemical_formula_sum 'Ti1 Sn1 Se1 N2'
_space_group_name_H-M_alt 'P 4/m m m'
_space_group_IT_number 123
_space_group_name_Hall '-P 4 2'
_cell_length_a 4.0362
_cell_length_b 4.0362
_cell_length_c 5.3679
_cell_angle_alpha 90.00
_cell_angle_beta 90.00
_cell_angle_gamma 90.00
loop_
_atom_site_label
_atom_site_type_symbol
_atom_site_fract_x
_atom_site_fract_y
_atom_site_fract_z
Ti1 Ti 0.0000 0.0000 0.0000
Sn1 Sn 0.5000 0.5000 0.5000
Se1 Se 0.5000 0.5000 0.0000
N1 N 0.0000 0.5000 0.5000
```



No. 8
Below is a relaxed structure of HoEr10Sc4, with properties calculated at the PBE level.

Results
* formation enthalpy at 0 K: 0.58 eV/atom
* crystal system: tetragonal
* raw total energy: -66.905 eV/f.u.

```
data_HoEr10Sc4
_chemical_formula_sum 'Ho2 Er20 Sc8'
_space_group_name_H-M_alt 'I 4/m'
_space_group_IT_number 87
_space_group_name_Hall '-I 4'
_cell_length_a 10.3864
_cell_length_b 10.3864
_cell_length_c 9.0439
_cell_angle_alpha 90.00
_cell_angle_beta 90.00
_cell_angle_gamma 90.00
loop_
_atom_site_label
_atom_site_type_symbol
_atom_site_fract_x
_atom_site_fract_y
_atom_site_fract_z
Ho1 Ho 0.0000 0.0000 0.0000
Er1 Er 0.0000 0.5000 0.2500
Er2 Er 0.1214 0.7896 0.1831
Sc1 Sc 0.0376 0.2349 0.5000
```



No. 9
Below is a relaxed structure of PmThRh2, with properties calculated at the PBE level.

Results
* formation enthalpy at 0 K: -0.85 eV/atom
* crystal system: monoclinic
* raw total energy: -30.292 eV/f.u.

```
data_PmThRh2
_chemical_formula_sum 'Pm1 Th1 Rh2'
_space_group_name_H-M_alt 'P 1 m 1'
_space_group_IT_number 6
_cell_length_a 3.8682
_cell_length_b 4.3280
_cell_length_c 5.7779
_cell_angle_alpha 90.00
_cell_angle_beta 109.37
_cell_angle_gamma 90.00
loop_
_space_group_symop_operation_xyz
'x,y,z'
'x,-y,z'
loop_
_atom_site_label
_atom_site_type_symbol
_atom_site_fract_x
_atom_site_fract_y
_atom_site_fract_z
Pm1 Pm 0.0000 0.0000 0.0000
Th1 Th 0.7243 0.5000 0.4502
Rh1 Rh 0.2688 0.0000 0.5383
Rh2 Rh 0.4545 0.5000 0.9096
```



No. 10
Below is a relaxed structure of Dy5Mg2Ru2Rh, with properties calculated at the PBE level.

Results
* formation enthalpy at 0 K: -0.33 eV/atom
* crystal system: tetragonal
* raw total energy: -55.394 eV/f.u.

```
data_Dy5Mg2Ru2Rh
_chemical_formula_sum 'Dy10 Mg4 Ru4 Rh2'
_space_group_name_H-M_alt 'P 4/m b m'
_space_group_IT_number 127
_space_group_name_Hall '-P 4 2ab'
_cell_length_a 11.6059
_cell_length_b 11.6059
_cell_length_c 3.5497
_cell_angle_alpha 90.00
_cell_angle_beta 90.00
_cell_angle_gamma 90.00
loop_
_atom_site_label
_atom_site_type_symbol
_atom_site_fract_x
_atom_site_fract_y
_atom_site_fract_z
Dy1 Dy 0.0000 0.5000 0.0000
Dy2 Dy 0.0607 0.1977 0.0000
Mg1 Mg 0.1858 0.6858 0.5000
Ru1 Ru 0.1347 0.3653 0.5000
Rh1 Rh 0.0000 0.0000 0.5000
```



No. 11
Below is a relaxed structure of LiTmC, with properties calculated at the PBE level.

Results
* formation enthalpy at 0 K: -0.18 eV/atom
* crystal system: cubic
* raw total energy: -16.155 eV/f.u.

```
data_LiTmC
_chemical_formula_sum 'Li4 Tm4 C4'
_space_group_name_H-M_alt 'F -4 3 m'
_space_group_IT_number 216
_space_group_name_Hall 'F -4 2 3'
_cell_length_a 5.5948
_cell_length_b 5.5948
_cell_length_c 5.5948
_cell_angle_alpha 90.00
_cell_angle_beta 90.00
_cell_angle_gamma 90.00
loop_
_atom_site_label
_atom_site_type_symbol
_atom_site_fract_x
_atom_site_fract_y
_atom_site_fract_z
Li1 Li 0.0000 0.0000 0.0000
Tm1 Tm 0.0000 0.0000 0.5000
C1 C 0.2500 0.2500 0.2500
```



No. 12
Below is a relaxed structure of La2Tb2Nd4Ho, with properties calculated at the PBE level.

Results
* formation enthalpy at 0 K: 0.01 eV/atom
* crystal system: monoclinic
* raw total energy: -42.689 eV/f.u.

```
data_La2Tb2Nd4Ho
_chemical_formula_sum 'La4 Tb4 Nd8 Ho2'
_space_group_name_H-M_alt 'C 1 2/m 1'
_space_group_IT_number 12
_cell_length_a 19.0941
_cell_length_b 3.6921
_cell_length_c 9.7828
_cell_angle_alpha 90.00
_cell_angle_beta 115.63
_cell_angle_gamma 90.00
loop_
_space_group_symop_operation_xyz
'x,y,z'
'-x,-y,-z'
'-x,y,-z'
'x,-y,z'
'x+1/2,y+1/2,z'
'-x+1/2,-y+1/2,-z'
'-x+1/2,y+1/2,-z'
'x+1/2,-y+1/2,z'
loop_
_atom_site_label
_atom_site_type_symbol
_atom_site_fract_x
_atom_site_fract_y
_atom_site_fract_z
La1 La 0.1653 0.0000 0.4982
Tb1 Tb 0.1476 0.5000 0.1662
Nd1 Nd 0.0187 0.0000 0.8343
Nd2 Nd 0.1859 0.5000 0.8338
Ho1 Ho 0.0000 0.5000 0.5000
```